Entry 1:
The following is a DFT calculation (GGA-PBE) of a relaxed structure of Pr4CuSi3.

Total energy in eV per atom: -5.470

```
Pr4CuSi3
1.0
-1.534 3.554 4.580
-0.627 -3.257 2.318
7.803 0.170 2.349
Pr Si Cu
4 3 1
Cartesian
5.456 2.347 4.774
4.864 -1.071 3.342
0.405 -0.238 3.308
1.152 3.205 4.816
2.883 0.659 5.239
-1.395 1.509 5.277
3.017 1.438 2.836
7.445 0.533 2.762
```

Entry 2:
The following is a DFT calculation (GGA-PBE) of a relaxed structure of Pr2CuSi.

Total energy in eV per atom: -5.112

```
Pr2CuSi
1.0
4.158 0.000 0.000
0.000 7.841 0.000
0.000 0.000 6.028
Si Pr Cu
2 4 2
Cartesian
2.079 6.232 2.289
0.000 1.609 5.302
2.079 3.453 3.879
0.000 0.700 2.293
0.000 4.388 0.866
2.079 7.141 5.307
2.079 2.152 0.580
0.000 5.689 3.594
```

Entry 3:
The following is a DFT calculation (GGA-PBE) of a relaxed structure of Pr2CuSi.

Total energy in eV per atom: -5.105

```
Pr2CuSi
1.0
4.186 0.000 0.000
0.000 5.858 0.000
0.000 0.000 7.977
Pr Cu Si
4 2 2
Cartesian
0.000 3.687 1.414
2.093 5.132 6.544
2.093 0.725 2.556
0.000 2.171 5.402
2.093 2.086 7.736
2.093 3.772 3.748
0.000 0.799 0.260
0.000 5.059 4.248
```

Entry 4:
The following is a DFT calculation (GGA-PBE) of a relaxed structure of PrSmCuSi3.

ΔE to the lowest computed polymorph in meV/atom: 0
Total energy in eV per atom: -5.659

```
PrSmCuSi3
1.0
0.000 4.240 7.004
4.049 0.000 7.004
4.049 4.240 0.000
Sm Si Pr Cu
2 6 2 2
Cartesian
2.024 2.120 3.502
6.073 6.360 10.506
2.064 4.240 5.812
2.064 4.240 8.196
4.049 4.240 11.633
6.034 4.240 5.812
6.034 4.240 8.196
4.049 4.240 2.375
4.049 2.066 7.004
4.049 6.414 7.004
4.049 4.240 4.665
4.049 4.240 9.343
```